Record 1
# BaFeNi2 (PBE-GGA, relaxed)
data_BaFeNi2
_chemical_formula_sum 'Ba1 Fe1 Ni2'
_symmetry_space_group_name_H-M 'P 1 m 1'
_symmetry_Int_Tables_number 6
_cell_length_a 3.500
_cell_length_b 3.761
_cell_length_c 6.460
_cell_angle_alpha 90.00
_cell_angle_beta 104.95
_cell_angle_gamma 90.00
loop_
_symmetry_equiv_pos_as_xyz
'x,y,z'
'x,-y,z'
loop_
_atom_site_label
_atom_site_type_symbol
_atom_site_fract_x
_atom_site_fract_y
_atom_site_fract_z
_atom_site_occupancy
Ba1 Ba 0.000 0.000 0.000 1
Fe1 Fe 0.743 0.500 0.459 1
Ni1 Ni 0.264 0.000 0.489 1
Ni2 Ni 0.363 0.500 0.712 1
# - volume (A^3/atom) = 20.53
# - polymorph energy (0 for the lowest one) (meV per atom) = 320
# - size of the total moment (μB/cell) = 4.018
# - E_form (meV/atom) = 406.1

---

Record 2
# Ba2FeNi (PBE-GGA, relaxed)
data_Ba2FeNi
_chemical_formula_sum 'Ba8 Fe4 Ni4'
_symmetry_space_group_name_H-M 'F m -3 m'
_symmetry_Int_Tables_number 225
_symmetry_space_group_name_Hall '-F 4 2 3'
_cell_length_a 7.740
_cell_length_b 7.740
_cell_length_c 7.740
_cell_angle_alpha 90.00
_cell_angle_beta 90.00
_cell_angle_gamma 90.00
loop_
_atom_site_label
_atom_site_type_symbol
_atom_site_fract_x
_atom_site_fract_y
_atom_site_fract_z
_atom_site_occupancy
Ba1 Ba 0.250 0.250 0.250 1
Fe1 Fe 0.000 0.000 0.000 1
Ni1 Ni 0.000 0.000 0.500 1
# - volume (A^3/atom) = 28.98
# - polymorph energy (0 for the lowest one) (meV per atom) = 329
# - size of the total moment (μB/cell) = 9.803
# - E_form (meV/atom) = 630.2

---

Record 3
# BaFe2Ni2 (PBE-GGA, relaxed)
data_BaFe2Ni2
_chemical_formula_sum 'Ba2 Fe4 Ni4'
_symmetry_space_group_name_H-M 'I 4/m m m'
_symmetry_Int_Tables_number 139
_symmetry_space_group_name_Hall '-I 4 2'
_cell_length_a 4.145
_cell_length_b 4.145
_cell_length_c 10.836
_cell_angle_alpha 90.00
_cell_angle_beta 90.00
_cell_angle_gamma 90.00
loop_
_atom_site_label
_atom_site_type_symbol
_atom_site_fract_x
_atom_site_fract_y
_atom_site_fract_z
_atom_site_occupancy
Ba1 Ba 0.000 0.000 0.000 1
Fe1 Fe 0.000 0.500 0.250 1
Ni1 Ni 0.000 0.000 0.359 1
# - volume (A^3/atom) = 18.62
# - size of the total moment (μB/cell) = 13.968
# - E_form (meV/atom) = 287.8

---

Record 4
# Ba2FeNi (PBE-GGA, relaxed)
data_Ba2FeNi
_chemical_formula_sum 'Ba4 Fe2 Ni2'
_symmetry_space_group_name_H-M 'I m m 2'
_symmetry_Int_Tables_number 44
_cell_length_a 4.188
_cell_length_b 4.436
_cell_length_c 15.245
_cell_angle_alpha 90.00
_cell_angle_beta 90.00
_cell_angle_gamma 90.00
loop_
_symmetry_equiv_pos_as_xyz
'x,y,z'
'-x,-y,z'
'-x,y,z'
'x,-y,z'
'x+1/2,y+1/2,z+1/2'
'-x+1/2,-y+1/2,z+1/2'
'-x+1/2,y+1/2,z+1/2'
'x+1/2,-y+1/2,z+1/2'
loop_
_atom_site_label
_atom_site_type_symbol
_atom_site_fract_x
_atom_site_fract_y
_atom_site_fract_z
_atom_site_occupancy
Ba1 Ba 0.000 0.000 0.000 1
Ba2 Ba 0.000 0.500 0.256 1
Fe1 Fe 0.000 0.500 0.848 1
Ni1 Ni 0.000 0.000 0.408 1
# - volume (A^3/atom) = 35.40
# - polymorph energy (0 for the lowest one) (meV per atom) = 26
# - size of the total moment (μB/cell) = 4.345
# - E_form (meV/atom) = 327.5

---

Record 5
# Ba2FeNi (PBE-GGA, relaxed)
data_Ba2FeNi
_chemical_formula_sum 'Ba2 Fe1 Ni1'
_symmetry_space_group_name_H-M 'P 1 2/m 1'
_symmetry_Int_Tables_number 10
_cell_length_a 3.852
_cell_length_b 3.848
_cell_length_c 7.860
_cell_angle_alpha 90.00
_cell_angle_beta 91.47
_cell_angle_gamma 90.00
loop_
_symmetry_equiv_pos_as_xyz
'x,y,z'
'-x,-y,-z'
'-x,y,-z'
'x,-y,z'
loop_
_atom_site_label
_atom_site_type_symbol
_atom_site_fract_x
_atom_site_fract_y
_atom_site_fract_z
_atom_site_occupancy
Ba1 Ba 0.005 0.000 0.234 1
Fe1 Fe 0.500 0.500 0.500 1
Ni1 Ni 0.500 0.500 0.000 1
# - volume (A^3/atom) = 29.12
# - polymorph energy (0 for the lowest one) (meV per atom) = 288
# - size of the total moment (μB/cell) = 2.511
# - E_form (meV/atom) = 588.7

---

Record 6
# BaFe2Ni (PBE-GGA, relaxed)
data_BaFe2Ni
_chemical_formula_sum 'Ba1 Fe2 Ni1'
_symmetry_space_group_name_H-M 'P 1 2/m 1'
_symmetry_Int_Tables_number 10
_cell_length_a 4.471
_cell_length_b 3.359
_cell_length_c 4.938
_cell_angle_alpha 90.00
_cell_angle_beta 98.94
_cell_angle_gamma 90.00
loop_
_symmetry_equiv_pos_as_xyz
'x,y,z'
'-x,-y,-z'
'-x,y,-z'
'x,-y,z'
loop_
_atom_site_label
_atom_site_type_symbol
_atom_site_fract_x
_atom_site_fract_y
_atom_site_fract_z
_atom_site_occupancy
Ba1 Ba 0.000 0.000 0.000 1
Fe1 Fe 0.000 0.500 0.500 1
Fe2 Fe 0.500 0.000 0.500 1
Ni1 Ni 0.500 0.500 0.000 1
# - volume (A^3/atom) = 18.31
# - size of the total moment (μB/cell) = 5.541
# - E_form (meV/atom) = 951.1

---

Record 7
# BaFeNi2 (PBE-GGA, relaxed)
data_BaFeNi2
_chemical_formula_sum 'Ba1 Fe1 Ni2'
_symmetry_space_group_name_H-M 'P 4 m m'
_symmetry_Int_Tables_number 99
_cell_length_a 3.215
_cell_length_b 3.215
_cell_length_c 7.172
_cell_angle_alpha 90.00
_cell_angle_beta 90.00
_cell_angle_gamma 90.00
loop_
_symmetry_equiv_pos_as_xyz
'x,y,z'
'-y,x,z'
'-x,-y,z'
'y,-x,z'
'-x,y,z'
'y,x,z'
'x,-y,z'
'-y,-x,z'
loop_
_atom_site_label
_atom_site_type_symbol
_atom_site_fract_x
_atom_site_fract_y
_atom_site_fract_z
_atom_site_occupancy
Ba1 Ba 0.000 0.000 0.000 1
Fe1 Fe 0.500 0.500 0.370 1
Ni1 Ni 0.000 0.000 0.504 1
Ni2 Ni 0.500 0.500 0.685 1
# - volume (A^3/atom) = 18.53
# - polymorph energy (0 for the lowest one) (meV per atom) = 398
# - size of the total moment (μB/cell) = 3.839
# - E_form (meV/atom) = 483.7

---

Record 8
# BaFeNi2 (PBE-GGA, relaxed)
data_BaFeNi2
_chemical_formula_sum 'Ba2 Fe2 Ni4'
_symmetry_space_group_name_H-M 'I m m m'
_symmetry_Int_Tables_number 71
_symmetry_space_group_name_Hall '-I 2 2'
_cell_length_a 4.007
_cell_length_b 5.789
_cell_length_c 7.418
_cell_angle_alpha 90.00
_cell_angle_beta 90.00
_cell_angle_gamma 90.00
loop_
_atom_site_label
_atom_site_type_symbol
_atom_site_fract_x
_atom_site_fract_y
_atom_site_fract_z
_atom_site_occupancy
Ba1 Ba 0.000 0.000 0.000 1
Fe1 Fe 0.000 0.000 0.500 1
Ni1 Ni 0.000 0.500 0.168 1
# - volume (A^3/atom) = 21.51
# - polymorph energy (0 for the lowest one) (meV per atom) = 490
# - size of the total moment (μB/cell) = 7.501
# - E_form (meV/atom) = 575.8

---

Record 9
# BaFeNi2 (PBE-GGA, relaxed)
data_BaFeNi2
_chemical_formula_sum 'Ba1 Fe1 Ni2'
_symmetry_space_group_name_H-M 'P 4/m m m'
_symmetry_Int_Tables_number 123
_symmetry_space_group_name_Hall '-P 4 2'
_cell_length_a 3.140
_cell_length_b 3.140
_cell_length_c 7.292
_cell_angle_alpha 90.00
_cell_angle_beta 90.00
_cell_angle_gamma 90.00
loop_
_atom_site_label
_atom_site_type_symbol
_atom_site_fract_x
_atom_site_fract_y
_atom_site_fract_z
_atom_site_occupancy
Ba1 Ba 0.000 0.000 0.000 1
Fe1 Fe 0.000 0.000 0.500 1
Ni1 Ni 0.500 0.500 0.335 1
# - volume (A^3/atom) = 17.97
# - polymorph energy (0 for the lowest one) (meV per atom) = 289
# - size of the total moment (μB/cell) = 3.924
# - E_form (meV/atom) = 375.1

---

Record 10
# Ba2FeNi (PBE-GGA, relaxed)
data_Ba2FeNi
_chemical_formula_sum 'Ba4 Fe2 Ni2'
_symmetry_space_group_name_H-M 'A m m 2'
_symmetry_Int_Tables_number 38
_cell_length_a 4.219
_cell_length_b 4.636
_cell_length_c 13.059
_cell_angle_alpha 90.00
_cell_angle_beta 90.00
_cell_angle_gamma 90.00
loop_
_symmetry_equiv_pos_as_xyz
'x,y,z'
'-x,-y,z'
'-x,y,z'
'x,-y,z'
'x,y+1/2,z+1/2'
'-x,-y+1/2,z+1/2'
'-x,y+1/2,z+1/2'
'x,-y+1/2,z+1/2'
loop_
_atom_site_label
_atom_site_type_symbol
_atom_site_fract_x
_atom_site_fract_y
_atom_site_fract_z
_atom_site_occupancy
Ba1 Ba 0.000 0.000 0.000 1
Ba2 Ba 0.500 0.000 0.269 1
Fe1 Fe 0.000 0.000 0.672 1
Ni1 Ni 0.500 0.000 0.597 1
# - volume (A^3/atom) = 31.93
# - polymorph energy (0 for the lowest one) (meV per atom) = 0
# - size of the total moment (μB/cell) = 4.431
# - E_form (meV/atom) = 301.1

---

Record 11
# BaFeNi2 (PBE-GGA, relaxed)
data_BaFeNi2
_chemical_formula_sum 'Ba2 Fe2 Ni4'
_symmetry_space_group_name_H-M 'I m m 2'
_symmetry_Int_Tables_number 44
_cell_length_a 3.170
_cell_length_b 5.162
_cell_length_c 9.290
_cell_angle_alpha 90.00
_cell_angle_beta 90.00
_cell_angle_gamma 90.00
loop_
_symmetry_equiv_pos_as_xyz
'x,y,z'
'-x,-y,z'
'-x,y,z'
'x,-y,z'
'x+1/2,y+1/2,z+1/2'
'-x+1/2,-y+1/2,z+1/2'
'-x+1/2,y+1/2,z+1/2'
'x+1/2,-y+1/2,z+1/2'
loop_
_atom_site_label
_atom_site_type_symbol
_atom_site_fract_x
_atom_site_fract_y
_atom_site_fract_z
_atom_site_occupancy
Ba1 Ba 0.000 0.000 0.000 1
Fe1 Fe 0.000 0.500 0.808 1
Ni1 Ni 0.000 0.000 0.502 1
Ni2 Ni 0.000 0.500 0.205 1
# - volume (A^3/atom) = 19.00
# - polymorph energy (0 for the lowest one) (meV per atom) = 585
# - size of the total moment (μB/cell) = 7.949
# - E_form (meV/atom) = 670.3

---

Record 12
# BaFe4Ni (PBE-GGA, relaxed)
data_BaFe4Ni
_chemical_formula_sum 'Ba4 Fe16 Ni4'
_symmetry_space_group_name_H-M 'F -4 3 m'
_symmetry_Int_Tables_number 216
_symmetry_space_group_name_Hall 'F -4 2 3'
_cell_length_a 7.285
_cell_length_b 7.285
_cell_length_c 7.285
_cell_angle_alpha 90.00
_cell_angle_beta 90.00
_cell_angle_gamma 90.00
loop_
_atom_site_label
_atom_site_type_symbol
_atom_site_fract_x
_atom_site_fract_y
_atom_site_fract_z
_atom_site_occupancy
Ba1 Ba 0.000 0.000 0.000 1
Fe1 Fe 0.122 0.122 0.622 1
Ni1 Ni 0.250 0.250 0.250 1
# - volume (A^3/atom) = 16.11
# - size of the total moment (μB/cell) = 46.056
# - E_form (meV/atom) = 608.5

---

Record 13
# BaFe2Ni (PBE-GGA, relaxed)
data_BaFe2Ni
_chemical_formula_sum 'Ba4 Fe8 Ni4'
_symmetry_space_group_name_H-M 'F m -3 m'
_symmetry_Int_Tables_number 225
_symmetry_space_group_name_Hall '-F 4 2 3'
_cell_length_a 6.584
_cell_length_b 6.584
_cell_length_c 6.584
_cell_angle_alpha 90.00
_cell_angle_beta 90.00
_cell_angle_gamma 90.00
loop_
_atom_site_label
_atom_site_type_symbol
_atom_site_fract_x
_atom_site_fract_y
_atom_site_fract_z
_atom_site_occupancy
Ba1 Ba 0.000 0.000 0.000 1
Fe1 Fe 0.250 0.250 0.250 1
Ni1 Ni 0.000 0.000 0.500 1
# - volume (A^3/atom) = 17.84
# - size of the total moment (μB/cell) = 21.690
# - E_form (meV/atom) = 1041.7

---

Record 14
# BaFe2Ni (PBE-GGA, relaxed)
data_BaFe2Ni
_chemical_formula_sum 'Ba2 Fe4 Ni2'
_symmetry_space_group_name_H-M 'C 1 2/m 1'
_symmetry_Int_Tables_number 12
_cell_length_a 7.170
_cell_length_b 4.135
_cell_length_c 6.193
_cell_angle_alpha 90.00
_cell_angle_beta 112.60
_cell_angle_gamma 90.00
loop_
_symmetry_equiv_pos_as_xyz
'x,y,z'
'-x,-y,-z'
'-x,y,-z'
'x,-y,z'
'x+1/2,y+1/2,z'
'-x+1/2,-y+1/2,-z'
'-x+1/2,y+1/2,-z'
'x+1/2,-y+1/2,z'
loop_
_atom_site_label
_atom_site_type_symbol
_atom_site_fract_x
_atom_site_fract_y
_atom_site_fract_z
_atom_site_occupancy
Ba1 Ba 0.000 0.000 0.000 1
Fe1 Fe 0.189 0.000 0.567 1
Ni1 Ni 0.000 0.500 0.500 1
# - volume (A^3/atom) = 21.19
# - size of the total moment (μB/cell) = 10.809
# - E_form (meV/atom) = 295.0

---

Record 15
# Ba3FeNi (PBE-GGA, relaxed)
data_Ba3FeNi
_chemical_formula_sum 'Ba3 Fe1 Ni1'
_symmetry_space_group_name_H-M 'P m -3 m'
_symmetry_Int_Tables_number 221
_symmetry_space_group_name_Hall '-P 4 2 3'
_cell_length_a 5.606
_cell_length_b 5.606
_cell_length_c 5.606
_cell_angle_alpha 90.00
_cell_angle_beta 90.00
_cell_angle_gamma 90.00
loop_
_atom_site_label
_atom_site_type_symbol
_atom_site_fract_x
_atom_site_fract_y
_atom_site_fract_z
_atom_site_occupancy
Ba1 Ba 0.000 0.000 0.500 1
Fe1 Fe 0.000 0.000 0.000 1
Ni1 Ni 0.500 0.500 0.500 1
# - volume (A^3/atom) = 35.24
# - size of the total moment (μB/cell) = 0.000
# - E_form (meV/atom) = 752.7